(1)
Computed, not measured: crystalline KLiTe2 at its relaxed geometry at the PBE level of DFT.

Results
- Formation energy without anion corrections: -0.383 eV per atom
- Polymorph energy (0 for the lowest one): 410 meV/atom
- Crystal system: trigonal
- Volume: 136 Å³/f.u.

a b c (Å): 10.775 10.775 10.775
angles (deg): 20.60 20.60 20.60
Element x y z (fractional)
K  0.000  0.000  0.000
Li  0.500  0.500  0.500
Te  0.418  0.418  0.418
Te  0.582  0.582  0.582

=====

(2)
Computed, not measured: crystalline K2LiTe at its relaxed geometry at the PBE level of DFT.

Results
- Formation energy without anion corrections: -0.546 eV per atom
- Crystal system: tetragonal
- Volume: 169 Å³/f.u.

a b c (Å): 4.172 4.172 9.694
angles (deg): 90.00 90.00 90.00
Element x y z (fractional)
K  0.000  0.000  0.000
K  0.500  0.500  0.408
Li  0.000  0.000  0.699
Te  0.500  0.500  0.762

=====

(3)
Computed, not measured: crystalline KLiTe2 at its relaxed geometry at the PBE level of DFT.

Results
- Formation energy without anion corrections: -0.570 eV per atom
- Polymorph energy (0 for the lowest one): 224 meV/atom
- Crystal system: tetragonal
- Volume: 119 Å³/f.u.

a b c (Å): 5.042 5.042 4.662
angles (deg): 90.00 90.00 90.00
Element x y z (fractional)
K  0.000  0.000  0.000
Li  0.500  0.500  0.000
Te  0.000  0.500  0.500
Te  0.500  0.000  0.500